# 1
The following is a PBE calculation of crystalline Tb6AlOs2 at its relaxed geometry, from Alexandria.

Cell and atoms, written as extended XYZ:
```
18
Lattice="-4.6923 4.7323 5.2379 4.6923 -4.7323 5.2379 4.6923 4.7323 -5.2379" Properties=species:S:1:pos:R:3 pbc="T T T"
Tb 4.6923 -2.9681 3.4658
Tb 2.8204 0.0000 2.5548
Tb 6.5642 0.0000 2.5548
Tb 2.9757 2.6471 0.0000
Tb 6.4089 2.6471 0.0000
Tb 0.0000 1.7641 1.7720
Tb 4.6923 2.9681 3.4658
Tb -1.7166 2.0851 5.2379
Tb 1.7166 2.0851 5.2379
Tb -1.8719 4.7323 2.6830
Tb 1.8719 4.7323 2.6830
Tb 0.0000 7.7004 1.7720
Al 4.6923 0.0000 0.0000
Al 0.0000 4.7323 0.0000
Os 1.7202 0.0000 0.0000
Os 7.6644 0.0000 0.0000
Os 0.0000 0.0000 3.9656
Os 0.0000 0.0000 6.5101
```

Summary:
E_form	-232	kJ/mol of formula units
volume	465	Å³/cell
symmetry	Immm, No. 71


# 2
The following is a PBE calculation of crystalline Tl5Cd4Pb at its relaxed geometry, from Alexandria.

Cell and atoms, written as extended XYZ:
```
10
Lattice="3.4192 0.0000 0.0000 0.0000 3.4192 0.0000 0.0000 0.0000 23.9736" Properties=species:S:1:pos:R:3 pbc="T T T"
Tl 0.0000 0.0000 0.0000
Tl 0.0000 0.0000 4.6315
Tl 0.0000 0.0000 9.3684
Tl 0.0000 0.0000 14.6052
Tl 0.0000 0.0000 19.3421
Cd 1.7096 1.7096 2.2933
Cd 1.7096 1.7096 6.9455
Cd 1.7096 1.7096 17.0281
Cd 1.7096 1.7096 21.6803
Pb 1.7096 1.7096 11.9868
```

Summary:
E_form	34	kJ/mol of formula units
volume	280	Å³/cell
symmetry	P4/mmm, No. 123